First-principles (GGA+U) data for a geometry-optimized LiAc2Fe2O6 structure, as listed in Alexandria.

The structure belongs to space group R-3m (No. 166, hexagonal axes); the cell edges are 5.9695, 5.9695 and 16.3278 Å and the angles 90.00°, 90.00° and 120.00°. The distinct sites, in fractional coordinates, are Li at (0.0000, 0.0000, 0.0000), Ac at (0.0000, 0.0000, 0.2052), Fe at (0.0000, 0.0000, 0.4246) and O at (0.0233, 0.5116, 0.7587).

As for the spin magnetization: 27.00 μB/cell. Its electronic total energy is -221.8 eV per cell. The calculated volume comes out at 504 Å³ per cell.